(1)
## In3NF10 (PBE)

Data for a geometry-optimized In3NF10 structure.

## Properties
- crystal system = orthorhombic
- M_tot (μB per formula unit) = 2.0

Cell: 8.1190 8.1969 6.7009 Å, 90.00 90.00 90.00°
Closest atoms and distances in Å follow each position.
Element x y z (fractional)
In 0.0000 0.0000 0.0000  6 F 2.12
In 0.0000 0.2578 0.5000  7 F 2.10-2.34
In 0.0000 0.7422 0.5000  7 F 2.10-2.34
In 0.5000 0.0000 0.0000  6 F 2.12
In 0.5000 0.2578 0.5000  7 F 2.10-2.34
In 0.5000 0.7422 0.5000  7 F 2.10-2.34
N 0.2500 0.5000 0.2457  2 F 1.78
N 0.7500 0.5000 0.7543  2 F 1.78
F 0.0000 0.0000 0.5000  2 In 2.11
F 0.0395 0.5000 0.3200  1 N 1.78
F 0.0530 0.1933 0.1995  2 In 2.12-2.13
F 0.0530 0.8067 0.1995  2 In 2.12-2.13
F 0.2500 0.0000 0.9090  2 In 2.12
F 0.2500 0.2876 0.5708  2 In 2.10
F 0.2500 0.7124 0.5708  2 In 2.10
F 0.4470 0.1933 0.1995  2 In 2.12-2.13
F 0.4470 0.8067 0.1995  2 In 2.12-2.13
F 0.4605 0.5000 0.3200  1 N 1.78
F 0.5000 0.0000 0.5000  2 In 2.11
F 0.5395 0.5000 0.6800  1 N 1.78
F 0.5530 0.1933 0.8005  2 In 2.12-2.13
F 0.5530 0.8067 0.8005  2 In 2.12-2.13
F 0.7500 0.0000 0.0910  2 In 2.12
F 0.7500 0.2876 0.4292  2 In 2.10
F 0.7500 0.7124 0.4292  2 In 2.10
F 0.9470 0.1933 0.8005  2 In 2.12-2.13
F 0.9470 0.8067 0.8005  2 In 2.12-2.13
F 0.9605 0.5000 0.6800  1 N 1.78

(2)
## InNF2 (PBE)

Data for a geometry-optimized InNF2 structure.

## Properties
- ΔE to the lowest computed polymorph (meV per atom) = 203.3
- crystal system = cubic
- M_tot (μB per formula unit) = 2.1

Cell: 4.0717 4.0717 4.0717 Å, 60.00 60.00 60.00°
Closest atoms and distances in Å follow each position.
Element x y z (fractional)
In 0.0000 0.0000 0.0000  8 F 2.49
N 0.5000 0.5000 0.5000  8 F 2.49
F 0.2500 0.2500 0.2500  4 In 2.49, 4 N 2.49
F 0.7500 0.7500 0.7500  4 In 2.49, 4 N 2.49

(3)
## InN3F (PBE)

Data for a geometry-optimized InN3F structure.

## Properties
- crystal system = cubic
- M_tot (μB per formula unit) = 6.9

Cell: 4.2891 4.2891 4.2891 Å, 90.00 90.00 90.00°
Closest atoms and distances in Å follow each position.
Element x y z (fractional)
In 0.0000 0.0000 0.0000  6 N 2.14
N 0.0000 0.0000 0.5000  2 In 2.14
N 0.0000 0.5000 0.0000  2 In 2.14
N 0.5000 0.0000 0.0000  2 In 2.14
F 0.5000 0.5000 0.5000  12 N 3.03

(4)
## InNF2 (PBE)

Data for a geometry-optimized InNF2 structure.

## Properties
- ΔE to the lowest computed polymorph (meV per atom) = 56.3
- crystal system = tetragonal
- M_tot (μB per formula unit) = 0.0

Cell: 7.9899 7.9899 7.9899 Å, 154.96 154.96 35.71°
Closest atoms and distances in Å follow each position.
Element x y z (fractional)
In 0.0000 0.0000 0.0000  4 F 2.26, 4 N 2.45
In 0.7500 0.2500 0.5000  4 F 2.26, 4 N 2.45
N 0.2500 0.7500 0.5000  4 F 2.26, 4 In 2.45
N 0.5000 0.5000 0.0000  4 F 2.26, 4 In 2.45
F 0.1235 0.6250 0.9985  2 In 2.26, 2 N 2.26, 4 F 2.44-2.46
F 0.3750 0.3735 0.4985  2 In 2.26, 2 N 2.26, 4 F 2.44-2.46
F 0.6265 0.1250 0.0015  2 In 2.26, 2 N 2.26, 4 F 2.44-2.46
F 0.8750 0.8765 0.5015  2 In 2.26, 2 N 2.26, 4 F 2.44-2.46

(5)
## NaInN2F (PBE)

Data for a geometry-optimized NaInN2F structure.

## Properties
- ΔE to the lowest computed polymorph (meV per atom) = 732.2
- crystal system = tetragonal
- M_tot (μB per formula unit) = 4.0

Cell: 4.4451 4.4451 3.9946 Å, 90.00 90.00 90.00°
Closest atoms and distances in Å follow each position.
Element x y z (fractional)
Na 0.0000 0.0000 0.0000  2 F 2.00, 4 N 2.22
In 0.5000 0.5000 0.5000  8 N 2.99, 4 F 3.14
N 0.0000 0.5000 0.0000  2 Na 2.22
N 0.5000 0.0000 0.0000  2 Na 2.22
F 0.0000 0.0000 0.5000  2 Na 2.00

(6)
## NaInN2F6 (PBE)

Data for a geometry-optimized NaInN2F6 structure.

## Properties
- crystal system = cubic
- M_tot (μB per formula unit) = 4.0

Cell: 6.1348 6.1348 6.1348 Å, 60.00 60.00 60.00°
Closest atoms and distances in Å follow each position.
Element x y z (fractional)
Na 0.0000 0.0000 0.0000  6 F 2.24
In 0.5000 0.5000 0.5000  6 F 2.10
N 0.2500 0.2500 0.2500  12 F 3.07
N 0.7500 0.7500 0.7500  12 F 3.07
F 0.2584 0.2584 0.7416  1 In 2.10, 1 Na 2.24
F 0.2584 0.7416 0.2584  1 In 2.10, 1 Na 2.24
F 0.2584 0.7416 0.7416  1 In 2.10, 1 Na 2.24
F 0.7416 0.2584 0.2584  1 In 2.10, 1 Na 2.24
F 0.7416 0.2584 0.7416  1 In 2.10, 1 Na 2.24
F 0.7416 0.7416 0.2584  1 In 2.10, 1 Na 2.24

(7)
## NaInNF2 (PBE)

Data for a geometry-optimized NaInNF2 structure.

## Properties
- ΔE to the lowest computed polymorph (meV per atom) = 622.0
- crystal system = tetragonal
- M_tot (μB per formula unit) = 1.3

Cell: 3.9675 3.9675 4.5191 Å, 90.00 90.00 90.00°
Closest atoms and distances in Å follow each position.
Element x y z (fractional)
Na 0.0000 0.0000 0.0000  4 F 1.98
In 0.5000 0.5000 0.5000  4 N 2.81, 8 F 3.01
N 0.0000 0.0000 0.5000  2 Na 2.26
F 0.0000 0.5000 0.0000  2 Na 1.98
F 0.5000 0.0000 0.0000  2 Na 1.98

(8)
## NaInNF2 (PBE)

Data for a geometry-optimized NaInNF2 structure.

## Properties
- ΔE to the lowest computed polymorph (meV per atom) = 0.0
- crystal system = tetragonal
- M_tot (μB per formula unit) = 1.0

Cell: 4.4348 4.4348 4.1294 Å, 90.00 90.00 90.00°
Closest atoms and distances in Å follow each position.
Element x y z (fractional)
Na 0.0000 0.0000 0.0000  8 F 3.03, 4 N 3.14
In 0.5000 0.5000 0.5000  2 N 2.06, 4 F 2.22
N 0.5000 0.5000 0.0000  2 In 2.06
F 0.0000 0.5000 0.5000  2 In 2.22
F 0.5000 0.0000 0.5000  2 In 2.22

(9)
## NaInN2F (PBE)

Data for a geometry-optimized NaInN2F structure.

## Properties
- ΔE to the lowest computed polymorph (meV per atom) = 0.0
- crystal system = tetragonal
- M_tot (μB per formula unit) = 2.9

Cell: 4.3161 4.3161 4.4841 Å, 90.00 90.00 90.00°
Closest atoms and distances in Å follow each position.
Element x y z (fractional)
Na 0.0000 0.0000 0.0000  4 F 3.05, 8 N 3.11
In 0.5000 0.5000 0.5000  4 N 2.16, 2 F 2.24
N 0.0000 0.5000 0.5000  2 In 2.16
N 0.5000 0.0000 0.5000  2 In 2.16
F 0.5000 0.5000 0.0000  2 In 2.24

(10)
## NbInNF2 (PBE)

Data for a geometry-optimized NbInNF2 structure.

## Properties
- ΔE to the lowest computed polymorph (meV per atom) = 0.0
- crystal system = tetragonal
- M_tot (μB per formula unit) = 1.0

Cell: 4.3879 4.3879 4.0495 Å, 90.00 90.00 90.00°
Closest atoms and distances in Å follow each position.
Element x y z (fractional)
Nb 0.0000 0.0000 0.0000  2 N 2.02, 4 F 2.19
In 0.5000 0.5000 0.5000  8 F 2.99, 4 N 3.10
N 0.0000 0.0000 0.5000  2 Nb 2.02
F 0.0000 0.5000 0.0000  2 Nb 2.19
F 0.5000 0.0000 0.0000  2 Nb 2.19

(11)
## NbInNF2 (PBE)

Data for a geometry-optimized NbInNF2 structure.

## Properties
- ΔE to the lowest computed polymorph (meV per atom) = 1053.1
- crystal system = tetragonal
- M_tot (μB per formula unit) = 3.0

Cell: 4.1800 4.1800 4.3214 Å, 90.00 90.00 90.00°
Closest atoms and distances in Å follow each position.
Element x y z (fractional)
Nb 0.0000 0.0000 0.0000  4 N 2.96, 8 F 3.01
In 0.5000 0.5000 0.5000  4 F 2.09, 2 N 2.16
N 0.5000 0.5000 0.0000  2 In 2.16
F 0.0000 0.5000 0.5000  2 In 2.09
F 0.5000 0.0000 0.5000  2 In 2.09

Quick rundown of total DFT energy (no corrections), same order as above: -122.18 -15.41 -19.06 -32.01 -17.81 -36.19 -18.74 -21.85 -21.47 -31.48 -26.22 eV per cell
Quick rundown of formation energy without anion corrections, same order as above: -1.85 -0.15 2.10 -0.30 0.95 -0.43 -0.52 -1.14 0.22 -1.32 -0.27 eV per atom